# 1
# SmDyCuS3 | OQMD | PBE-GGA | relaxed
# Offset from the most stable computed form   0.0165 eV/atom
# Electronic total energy   -5.802 eV/atom
data_SmDyCuS3
_cell_length_a 3.8001
_cell_length_b 12.7045
_cell_length_c 10.1417
_cell_angle_alpha 90.00
_cell_angle_beta 90.00
_cell_angle_gamma 90.00
_space_group_name_H-M_alt 'C m c m'
_space_group_IT_number 63
_space_group_name_Hall '-C 2c 2'
loop_
_atom_site_label
_atom_site_fract_x
_atom_site_fract_y
_atom_site_fract_z
Sm1 0.0000 0.2348 0.2500
Dy1 0.0000 0.0000 0.0000
Cu1 0.0000 0.4790 0.7500
S1 0.0000 0.0910 0.7500
S2 0.0000 0.3574 0.5767

=====

# 2
# SmDyCuS3 | OQMD | PBE-GGA | relaxed
# Offset from the most stable computed form   0.0000 eV/atom
# Electronic total energy   -5.818 eV/atom
data_SmDyCuS3
_cell_length_a 7.9768
_cell_length_b 3.8044
_cell_length_c 8.4044
_cell_angle_alpha 90.00
_cell_angle_beta 101.80
_cell_angle_gamma 90.00
_space_group_name_H-M_alt 'P 1 21/m 1'
_space_group_IT_number 11
_space_group_name_Hall '-P 2yb'
loop_
_atom_site_label
_atom_site_fract_x
_atom_site_fract_y
_atom_site_fract_z
Sm1 0.1843 0.2500 0.2256
Dy1 0.3341 0.7500 0.8332
Cu1 0.0879 0.2500 0.5831
S1 0.0915 0.2500 0.8650
S2 0.2266 0.7500 0.5008
S3 0.4248 0.7500 0.1699

=====

# 3
# Dy3CuSnS7 | OQMD | PBE-GGA | relaxed
# Electronic total energy   -5.619 eV/atom
data_Dy3CuSnS7
_cell_length_a 9.7559
_cell_length_b 9.7559
_cell_length_c 6.1841
_cell_angle_alpha 90.00
_cell_angle_beta 90.00
_cell_angle_gamma 120.00
_space_group_name_H-M_alt 'P 63'
_space_group_IT_number 173
_space_group_name_Hall 'P 6c'
loop_
_atom_site_label
_atom_site_fract_x
_atom_site_fract_y
_atom_site_fract_z
Dy1 0.1478 0.3592 0.0000
Cu1 0.0000 0.0000 0.1068
Sn1 0.3333 0.6667 0.4346
S1 0.0815 0.5639 0.2520
S2 0.1136 0.2623 0.5742
S3 0.3333 0.6667 0.8213